1.
Entry from Alexandria: crystalline TiCrAgS4 at its relaxed geometry (PBE).

Output
* ΔE_f (raw): -0.702 eV/atom
* density of states at the Fermi level: 0.1489 states/eV per atom
* polymorph energy (0 for the lowest one): 119 meV/atom
* SG: P-1
* spin magnetization: 0.43 μB per atom

Lattice parameters (Å, degrees): 6.117 7.025 12.061 90.25 90.40 91.23
Element x y z (fractional)
Ti1 0.531 0.227 0.746
Ti2 0.500 0.000 0.000
Ti3 0.000 0.500 0.500
Ti4 0.469 0.773 0.254
S1 0.211 0.474 0.673
S2 0.813 0.749 0.589
S3 0.770 0.239 0.592
S4 0.230 0.761 0.408
S5 0.693 0.752 0.086
S6 0.719 0.968 0.825
S7 0.213 0.008 0.674
S8 0.733 0.256 0.089
S9 0.709 0.513 0.824
S10 0.787 0.992 0.326
S11 0.267 0.744 0.911
S12 0.307 0.248 0.914
S13 0.281 0.032 0.175
S14 0.291 0.487 0.176
S15 0.187 0.251 0.411
S16 0.789 0.526 0.327
Ag1 0.083 0.753 0.096
Ag2 0.423 0.739 0.591
Ag3 0.577 0.261 0.409
Ag4 0.917 0.247 0.904
Cr1 0.500 0.500 0.000
Cr2 0.980 0.265 0.244
Cr3 0.000 0.000 0.500
Cr4 0.020 0.735 0.756

=====

2.
Entry from Alexandria: crystalline Y2ScOs at its relaxed geometry (PBE).

Output
* density of states at the Fermi level: 0.9936 states/eV per atom
* polymorph energy (0 for the lowest one): 221 meV/atom
* SG: P4/mmm
* spin magnetization: 0.27 μB per atom
* ΔH_f (0 K): -0.043 eV per atom

Lattice parameters (Å, degrees): 3.430 3.430 8.489 90.00 90.00 90.08
Element x y z (fractional)
Sc1 0.500 0.500 0.750
Y1 0.000 0.000 0.055
Y2 0.000 0.000 0.445
Os1 0.500 0.500 0.250

=====

3.
Entry from Alexandria: crystalline CaScAlGa at its relaxed geometry (PBE).

Output
* density of states at the Fermi level: 0.6429 states/eV per atom
* SG: F-43m
* spin magnetization: 0.00 μB per atom
* ΔH_f (0 K): -0.337 eV per atom

Lattice parameters (Å, degrees): 4.982 4.982 4.982 60.00 60.00 60.00
Element x y z (fractional)
Sc1 0.500 0.500 0.500
Ca1 0.000 0.000 0.000
Al1 0.750 0.750 0.750
Ga1 0.250 0.250 0.250

=====

4.
Entry from Alexandria: crystalline AcDySbO2 at its relaxed geometry (PBE).

Output
* ΔE_f (raw): -2.636 eV/atom
* density of states at the Fermi level: 0.3226 states/eV per atom
* SG: I4mm
* spin magnetization: 0.00 μB per atom

Lattice parameters (Å, degrees): 4.013 4.013 7.561 105.39 105.39 90.00
Element x y z (fractional)
Dy1 0.167 0.167 0.334
Sb1 0.510 0.510 0.020
O1 0.742 0.242 0.483
O2 0.242 0.742 0.483
Ac1 0.840 0.840 0.681

=====

5.
Entry from Alexandria: crystalline CaAc2P at its relaxed geometry (PBE).

Output
* density of states at the Fermi level: 1.4711 states/eV per atom
* polymorph energy (0 for the lowest one): 0 meV/atom
* SG: R-3m
* spin magnetization: 0.08 μB per atom
* ΔH_f (0 K): -0.634 eV per atom

Lattice parameters (Å, degrees): 4.218 4.218 10.746 78.68 78.68 60.00
Element x y z (fractional)
Ca1 0.500 0.500 0.500
Ac1 0.276 0.276 0.171
Ac2 0.724 0.724 0.829
P1 0.000 0.000 0.000

=====

6.
Entry from Alexandria: crystalline KLiMn2 at its relaxed geometry (PBE).

Output
* density of states at the Fermi level: 1.1709 states/eV per atom
* polymorph energy (0 for the lowest one): 161 meV/atom
* SG: P4/mmm
* spin magnetization: 2.08 μB per atom
* ΔH_f (0 K): 0.822 eV per atom

Lattice parameters (Å, degrees): 3.305 3.305 8.599 90.00 90.00 90.00
Element x y z (fractional)
Mn1 0.000 0.000 0.913
Mn2 0.000 0.000 0.587
Li1 0.500 0.500 0.750
K1 0.500 0.500 0.250